A plane-wave DFT calculation with PBE was carried out for a relaxed structure of AsPt4.

CIF file:
```
data_AsPt4
_chemical_formula_sum 'As2 Pt8'
_symmetry_space_group_name_H-M 'I m -3 m'
_symmetry_Int_Tables_number 229
_symmetry_space_group_name_Hall '-I 4 2 3'
_cell_length_a 5.6688
_cell_length_b 5.6688
_cell_length_c 5.6688
_cell_angle_alpha 90.00
_cell_angle_beta 90.00
_cell_angle_gamma 90.00
loop_
_atom_site_label
_atom_site_type_symbol
_atom_site_fract_x
_atom_site_fract_y
_atom_site_fract_z
As1 As 0.0000 0.0000 0.0000
Pt1 Pt 0.2500 0.2500 0.2500
```

Calculated values
The calculation puts the density at 15.592 g/cm3. Its formation energy is 96 meV/atom. The density of states at the Fermi level comes out at 0.58 states/eV/atom. The value obtained for the total magnetization is 0.0 μB per formula unit. As for the raw total energy: -5.67 eV per atom. The energy relative to the lowest polymorph listed for this composition is 0 meV/atom.